1.
Compound: MgGe2Rh
Source: Alexandria via LeMat-Bulk
Functional: PBE
Structure: optimized geometry

```
data_MgGe2Rh
_chemical_formula_sum 'Mg3 Ge6 Rh3'
_cell_length_a 3.1234
_cell_length_b 3.1234
_cell_length_c 26.9741
_cell_angle_alpha 90.00
_cell_angle_beta 90.00
_cell_angle_gamma 120.00
_space_group_name_H-M_alt 'R -3 m'
_space_group_IT_number 166
_space_group_name_Hall '-R 3 2"'
loop_
_atom_site_label
_atom_site_type_symbol
_atom_site_fract_x
_atom_site_fract_y
_atom_site_fract_z
Mg1 Mg 0.0000 0.0000 0.0000
Ge1 Ge 0.0000 0.0000 0.0995
Rh1 Rh 0.0000 0.0000 0.5000
```

Summary:
Energy relative to the elements in eV per atom: -0.11
Magnetic moment in μB/cell: 0.00

---

2.
Compound: MgGeRh
Source: Alexandria via LeMat-Bulk
Functional: PBE
Structure: optimized geometry

```
data_MgGeRh
_chemical_formula_sum 'Mg6 Ge6 Rh6'
_cell_length_a 4.2795
_cell_length_b 4.2795
_cell_length_c 19.5427
_cell_angle_alpha 90.00
_cell_angle_beta 90.00
_cell_angle_gamma 120.00
_space_group_name_H-M_alt 'R 3 m'
_space_group_IT_number 160
_space_group_name_Hall 'R 3 -2"'
loop_
_atom_site_label
_atom_site_type_symbol
_atom_site_fract_x
_atom_site_fract_y
_atom_site_fract_z
Mg1 Mg 0.0000 0.0000 0.0000
Mg2 Mg 0.0000 0.0000 0.1599
Ge1 Ge 0.0000 0.0000 0.4241
Ge2 Ge 0.0000 0.0000 0.5890
Rh1 Rh 0.0000 0.0000 0.2940
Rh2 Rh 0.0000 0.0000 0.7254
```

Summary:
Energy relative to the elements in eV per atom: -0.50
Magnetic moment in μB/cell: 0.00

---

3.
Compound: MgGe3Rh3
Source: Alexandria via LeMat-Bulk
Functional: PBE
Structure: optimized geometry

```
data_MgGe3Rh3
_chemical_formula_sum 'Mg2 Ge6 Rh6'
_cell_length_a 6.7183
_cell_length_b 6.7183
_cell_length_c 6.7183
_cell_angle_alpha 90.00
_cell_angle_beta 90.00
_cell_angle_gamma 90.00
_space_group_name_H-M_alt 'P m -3 n'
_space_group_IT_number 223
_space_group_name_Hall '-P 4n 2 3'
loop_
_atom_site_label
_atom_site_type_symbol
_atom_site_fract_x
_atom_site_fract_y
_atom_site_fract_z
Mg1 Mg 0.0000 0.0000 0.0000
Ge1 Ge 0.0000 0.2500 0.5000
Rh1 Rh 0.0000 0.5000 0.2500
```

Summary:
Energy relative to the elements in eV per atom: 0.02
Magnetic moment in μB/cell: 0.00

---

4.
Compound: Mg3Ge3Rh2
Source: Alexandria via LeMat-Bulk
Functional: PBE
Structure: optimized geometry

```
data_Mg3Ge3Rh2
_chemical_formula_sum 'Mg12 Ge12 Rh8'
_cell_length_a 7.1561
_cell_length_b 15.2135
_cell_length_c 5.2588
_cell_angle_alpha 90.00
_cell_angle_beta 90.00
_cell_angle_gamma 90.00
_space_group_name_H-M_alt 'P n m a'
_space_group_IT_number 62
loop_
_space_group_symop_operation_xyz
'x,y,z'
'-x,-y,-z'
'-x+1/2,-y,z+1/2'
'x+1/2,y,-z+1/2'
'x+1/2,-y+1/2,-z+1/2'
'-x+1/2,y+1/2,z+1/2'
'-x,y+1/2,-z'
'x,-y+1/2,z'
loop_
_atom_site_label
_atom_site_type_symbol
_atom_site_fract_x
_atom_site_fract_y
_atom_site_fract_z
Mg1 Mg 0.0286 0.1192 0.1017
Mg2 Mg 0.1802 0.2500 0.6339
Ge1 Ge 0.1663 0.7500 0.6419
Ge2 Ge 0.1872 0.0340 0.5929
Rh1 Rh 0.1129 0.6126 0.3981
```

Summary:
Energy relative to the elements in eV per atom: -0.44
Magnetic moment in μB/cell: 0.00

---

5.
Compound: MgGe2Rh
Source: Alexandria via LeMat-Bulk
Functional: PBE
Structure: optimized geometry

```
data_MgGe2Rh
_chemical_formula_sum 'Mg4 Ge8 Rh4'
_cell_length_a 3.8414
_cell_length_b 9.3191
_cell_length_c 7.6356
_cell_angle_alpha 90.00
_cell_angle_beta 90.00
_cell_angle_gamma 90.00
_space_group_name_H-M_alt 'C m c m'
_space_group_IT_number 63
_space_group_name_Hall '-C 2c 2'
loop_
_atom_site_label
_atom_site_type_symbol
_atom_site_fract_x
_atom_site_fract_y
_atom_site_fract_z
Mg1 Mg 0.0000 0.0695 0.2500
Ge1 Ge 0.0000 0.3581 0.0428
Rh1 Rh 0.0000 0.2150 0.7500
```

Summary:
Energy relative to the elements in eV per atom: -0.43
Magnetic moment in μB/cell: 0.00

---

6.
Compound: Mg3GeRh
Source: Alexandria via LeMat-Bulk
Functional: PBE
Structure: optimized geometry

```
data_Mg3GeRh
_chemical_formula_sum 'Mg3 Ge1 Rh1'
_cell_length_a 4.8831
_cell_length_b 4.8831
_cell_length_c 4.8831
_cell_angle_alpha 90.00
_cell_angle_beta 90.00
_cell_angle_gamma 90.00
_space_group_name_H-M_alt 'P m -3 m'
_space_group_IT_number 221
_space_group_name_Hall '-P 4 2 3'
loop_
_atom_site_label
_atom_site_type_symbol
_atom_site_fract_x
_atom_site_fract_y
_atom_site_fract_z
Mg1 Mg 0.0000 0.0000 0.5000
Ge1 Ge 0.5000 0.5000 0.5000
Rh1 Rh 0.0000 0.0000 0.0000
```

Summary:
Energy relative to the elements in eV per atom: 0.13
Magnetic moment in μB/cell: 0.00

---

7.
Compound: MgGe2Rh2
Source: Alexandria via LeMat-Bulk
Functional: PBE
Structure: optimized geometry

```
data_MgGe2Rh2
_chemical_formula_sum 'Mg2 Ge4 Rh4'
_cell_length_a 7.1816
_cell_length_b 7.1816
_cell_length_c 3.0667
_cell_angle_alpha 90.00
_cell_angle_beta 90.00
_cell_angle_gamma 90.00
_space_group_name_H-M_alt 'P 4/m b m'
_space_group_IT_number 127
_space_group_name_Hall '-P 4 2ab'
loop_
_atom_site_label
_atom_site_type_symbol
_atom_site_fract_x
_atom_site_fract_y
_atom_site_fract_z
Mg1 Mg 0.0000 0.0000 0.0000
Ge1 Ge 0.1520 0.3480 0.5000
Rh1 Rh 0.1449 0.6449 0.0000
```

Summary:
Energy relative to the elements in eV per atom: -0.42
Magnetic moment in μB/cell: 0.00

---

8.
Compound: MgGe3Rh
Source: Alexandria via LeMat-Bulk
Functional: PBE
Structure: optimized geometry

```
data_MgGe3Rh
_chemical_formula_sum 'Mg1 Ge3 Rh1'
_cell_length_a 4.8254
_cell_length_b 4.8254
_cell_length_c 4.8254
_cell_angle_alpha 90.00
_cell_angle_beta 90.00
_cell_angle_gamma 90.00
_space_group_name_H-M_alt 'P m -3 m'
_space_group_IT_number 221
_space_group_name_Hall '-P 4 2 3'
loop_
_atom_site_label
_atom_site_type_symbol
_atom_site_fract_x
_atom_site_fract_y
_atom_site_fract_z
Mg1 Mg 0.0000 0.0000 0.0000
Ge1 Ge 0.0000 0.5000 0.5000
Rh1 Rh 0.5000 0.5000 0.5000
```

Summary:
Energy relative to the elements in eV per atom: 0.17
Magnetic moment in μB/cell: 0.00

---

9.
Compound: MgGeRh
Source: Alexandria via LeMat-Bulk
Functional: PBE
Structure: optimized geometry

```
data_MgGeRh
_chemical_formula_sum 'Mg2 Ge2 Rh2'
_cell_length_a 3.2558
_cell_length_b 3.2558
_cell_length_c 9.0012
_cell_angle_alpha 90.00
_cell_angle_beta 90.00
_cell_angle_gamma 90.00
_space_group_name_H-M_alt 'I 4 m m'
_space_group_IT_number 107
_space_group_name_Hall 'I 4 -2'
loop_
_atom_site_label
_atom_site_type_symbol
_atom_site_fract_x
_atom_site_fract_y
_atom_site_fract_z
Mg1 Mg 0.0000 0.0000 0.0000
Ge1 Ge 0.0000 0.0000 0.6900
Rh1 Rh 0.0000 0.0000 0.3173
```

Summary:
Energy relative to the elements in eV per atom: -0.50
Magnetic moment in μB/cell: 0.00

---

10.
Compound: MgGe7Rh3
Source: Alexandria via LeMat-Bulk
Functional: PBE
Structure: optimized geometry

```
data_MgGe7Rh3
_chemical_formula_sum 'Mg4 Ge28 Rh12'
_cell_length_a 13.6173
_cell_length_b 7.8515
_cell_length_c 8.3374
_cell_angle_alpha 90.00
_cell_angle_beta 123.11
_cell_angle_gamma 90.00
_space_group_name_H-M_alt 'C 1 2/c 1'
_space_group_IT_number 15
loop_
_space_group_symop_operation_xyz
'x,y,z'
'-x,-y,-z'
'-x,y,-z+1/2'
'x,-y,z+1/2'
'x+1/2,y+1/2,z'
'-x+1/2,-y+1/2,-z'
'-x+1/2,y+1/2,-z+1/2'
'x+1/2,-y+1/2,z+1/2'
loop_
_atom_site_label
_atom_site_type_symbol
_atom_site_fract_x
_atom_site_fract_y
_atom_site_fract_z
Mg1 Mg 0.2500 0.2500 0.0000
Ge1 Ge 0.0000 0.2496 0.2500
Ge2 Ge 0.0080 0.1584 0.5902
Ge3 Ge 0.1202 0.4536 0.5901
Ge4 Ge 0.2120 0.1375 0.5902
Rh1 Rh 0.0000 0.4272 0.7500
Rh2 Rh 0.1615 0.0885 0.2503
```

Summary:
Energy relative to the elements in eV per atom: -0.32
Magnetic moment in μB/cell: 0.00

---

11.
Compound: Mg3GeRh
Source: Alexandria via LeMat-Bulk
Functional: PBE
Structure: optimized geometry

```
data_Mg3GeRh
_chemical_formula_sum 'Mg12 Ge4 Rh4'
_cell_length_a 9.7909
_cell_length_b 7.9119
_cell_length_c 7.0014
_cell_angle_alpha 90.00
_cell_angle_beta 131.09
_cell_angle_gamma 90.00
_space_group_name_H-M_alt 'C 1 2/m 1'
_space_group_IT_number 12
loop_
_space_group_symop_operation_xyz
'x,y,z'
'-x,-y,-z'
'-x,y,-z'
'x,-y,z'
'x+1/2,y+1/2,z'
'-x+1/2,-y+1/2,-z'
'-x+1/2,y+1/2,-z'
'x+1/2,-y+1/2,z'
loop_
_atom_site_label
_atom_site_type_symbol
_atom_site_fract_x
_atom_site_fract_y
_atom_site_fract_z
Mg1 Mg 0.0328 0.0000 0.3241
Mg2 Mg 0.2178 0.3111 0.7719
Ge1 Ge 0.1044 0.5000 0.3475
Rh1 Rh 0.1846 0.5000 0.0805
```

Summary:
Energy relative to the elements in eV per atom: -0.28
Magnetic moment in μB/cell: 0.00

---

12.
Compound: MgGeRh
Source: Alexandria via LeMat-Bulk
Functional: PBE
Structure: optimized geometry

```
data_MgGeRh
_chemical_formula_sum 'Mg4 Ge4 Rh4'
_cell_length_a 4.1115
_cell_length_b 4.1115
_cell_length_c 12.3174
_cell_angle_alpha 90.00
_cell_angle_beta 90.00
_cell_angle_gamma 90.00
_space_group_name_H-M_alt 'I 4/m m m'
_space_group_IT_number 139
_space_group_name_Hall '-I 4 2'
loop_
_atom_site_label
_atom_site_type_symbol
_atom_site_fract_x
_atom_site_fract_y
_atom_site_fract_z
Mg1 Mg 0.0000 0.0000 0.1494
Ge1 Ge 0.0000 0.0000 0.3751
Rh1 Rh 0.0000 0.5000 0.0000
```

Summary:
Energy relative to the elements in eV per atom: -0.55
Magnetic moment in μB/cell: 0.00